No. 1
Computed, not measured: BeTlO2 after structural relaxation at the PBE-GGA level of DFT.

Cell lengths 4.8510, 4.8510, 5.3230 Å; angles 62.89, 62.89, 90.00 degrees
Fractional coordinates of all 8 atoms:
Tl  0.7500  0.2500  0.5000
O  0.2525  0.6250  0.2500
O  0.3750  0.5025  0.7500
O  0.8750  0.7475  0.7500
O  0.4975  0.1250  0.2500
Be  0.5000  0.5000  0.0000
Tl  0.0000  0.0000  0.0000
Be  0.2500  0.7500  0.5000

Computed properties:
The formation energy (no corrections) is -1.44 eV per atom. The relative energy among the computed polymorphs comes out at 44.4 meV per atom. The space group is I-42d (122). Its theoretical density is 8.51 Mg/m³.

No. 2
Computed, not measured: Be3TlO after structural relaxation at the PBE-GGA level of DFT.

Cell lengths 3.8096, 3.8096, 3.8096 Å; angles 90.00, 90.00, 90.00 degrees
Fractional coordinates of all 5 atoms:
O  0.0000  0.0000  0.0000
Be  0.0000  0.5000  0.0000
Be  0.0000  0.0000  0.5000
Be  0.5000  0.0000  0.0000
Tl  0.5000  0.5000  0.5000

Computed properties:
The formation energy (no corrections) is -0.02 eV per atom. The relative energy among the computed polymorphs comes out at 0.0 meV per atom. The space group is Pm-3m (221). Its theoretical density is 7.43 Mg/m³.

No. 3
Computed, not measured: UBeTl2O6 after structural relaxation at the PBE-GGA level of DFT.

Cell lengths 5.5812, 5.5952, 5.6461 Å; angles 119.70, 119.68, 90.00 degrees
Fractional coordinates of all 10 atoms:
O  0.6958  0.2400  0.4799
U  0.0000  0.5000  0.0000
O  0.7572  0.2576  0.0430
Tl  0.7532  0.7504  0.5007
O  0.7572  0.7854  0.0430
O  0.2428  0.7424  0.9570
Tl  0.2468  0.2496  0.4993
O  0.2428  0.2146  0.9570
O  0.3042  0.7600  0.5201
Be  0.5000  0.0000  0.0000

Computed properties:
The formation energy (no corrections) is -1.75 eV per atom. The space group is C2/m (12). Its theoretical density is 9.92 Mg/m³.

No. 4
Computed, not measured: UBe2Tl2O6 after structural relaxation at the PBE-GGA level of DFT.

Cell lengths 5.6139, 5.6139, 7.1136 Å; angles 66.76, 66.76, 60.00 degrees
Fractional coordinates of all 11 atoms:
O  0.2393  0.7172  0.8043
Be  0.3979  0.3979  0.8062
Tl  0.7882  0.7882  0.6353
O  0.7607  0.7607  0.1957
U  0.0000  0.0000  0.0000
O  0.2393  0.2393  0.8043
O  0.7172  0.2393  0.8043
Tl  0.2118  0.2118  0.3647
O  0.7607  0.2828  0.1957
O  0.2828  0.7607  0.1957
Be  0.6021  0.6021  0.1938

Computed properties:
The formation energy (no corrections) is -2.25 eV per atom. The space group is R-3m (166). Its theoretical density is 7.31 Mg/m³.

Calculated total energy, respectively: -43.56 -18.61 -66.99 -77.96 eV per cell.